First-principles (GGA-PBE) data for Pm3Nd2Ag2 after structural relaxation, as listed in the Alexandria database.

The value obtained for the total energy is -4.33 eV per atom. For the magnetic moment, the calculation gives 0.00 μB per formula unit. Its space group is C2/m (12). The value obtained for the energy relative to the elements is -0.8 eV/f.u. The energy above the most stable polymorph in this dataset comes out at 0.0 meV per atom. The crystal system is monoclinic.

a = 3.8373 Å, b = 6.8619 Å, c = 9.4522 Å
α = 114.92°, β = 90.00°, γ = 106.24°
With the nearest neighbours (Å) after each atom.
Atoms (fractional coordinates):
Pm  0.5000  0.0000  0.0000  4 Ag 3.02
Pm  0.3882  0.7764  0.5528  3 Ag 3.15, 1 Pm 3.50
Pm  0.6118  0.2236  0.4472  3 Ag 3.15, 1 Pm 3.50
Nd  0.1484  0.2968  0.8134  2 Ag 3.22
Nd  0.8516  0.7032  0.1866  2 Ag 3.22
Ag  0.8301  0.6602  0.7717  5 Pm 3.02-3.15, 2 Nd 3.22
Ag  0.1699  0.3398  0.2283  5 Pm 3.02-3.15, 2 Nd 3.22